DFT (PBEsol) results for a relaxed K2CoH12S2O14 crystal.

## Properties
E   -0.4072 Ry/atom
Calculated volume   638.7 Å³/cell

The structure in CIF format:
```
data_K2CoH12S2O14
_cell_length_a 6.149
_cell_length_b 11.936
_cell_length_c 8.940
_cell_angle_alpha 90.00
_cell_angle_beta 103.26
_cell_angle_gamma 90.00
_symmetry_space_group_name_H-M 'P 1 21/c 1'
_symmetry_Int_Tables_number 14
loop_
_symmetry_equiv_pos_as_xyz
'x,y,z'
'-x,-y,-z'
'-x,y+1/2,-z+1/2'
'x,-y+1/2,z+1/2'
loop_
_atom_site_label
_atom_site_fract_x
_atom_site_fract_y
_atom_site_fract_z
K1 0.169 0.163 0.368
Co1 0.500 0.000 0.000
H1 0.166 0.644 0.472
H2 0.171 0.562 0.617
H3 0.177 0.084 0.778
H4 0.412 0.602 0.225
H5 0.413 0.123 0.745
H6 0.488 0.695 0.354
S1 0.217 0.635 0.911
O1 0.072 0.737 0.903
O2 0.109 0.558 0.785
O3 0.214 0.568 0.516
O4 0.235 0.578 0.060
O5 0.329 0.112 0.827
O6 0.443 0.669 0.891
O7 0.476 0.118 0.177
```

---

DFT (PBEsol) results for a relaxed LaSiP2Cl crystal.

## Properties
E_form (uncorrected)   0.535 eV/atom
Calculated volume   152.3 Å³/cell

The structure in CIF format:
```
data_LaSiP2Cl
_cell_length_a 5.396
_cell_length_b 5.396
_cell_length_c 5.232
_cell_angle_alpha 90.00
_cell_angle_beta 90.00
_cell_angle_gamma 90.00
_symmetry_space_group_name_H-M 'P 4/m m m'
_symmetry_Int_Tables_number 123
_symmetry_space_group_name_Hall '-P 4 2'
loop_
_atom_site_label
_atom_site_fract_x
_atom_site_fract_y
_atom_site_fract_z
La1 0.000 0.000 0.000
Si1 0.500 0.500 0.500
P1 0.000 0.500 0.000
Cl1 0.000 0.000 0.500
```

---

DFT (PBEsol) results for a relaxed MgSbPt3 crystal.

## Properties
E_form (uncorrected)   0.536 eV/atom
Calculated volume   116.4 Å³/cell

The structure in CIF format:
```
data_MgSbPt3
_cell_length_a 4.883
_cell_length_b 4.883
_cell_length_c 4.883
_cell_angle_alpha 90.00
_cell_angle_beta 90.00
_cell_angle_gamma 90.00
_symmetry_space_group_name_H-M 'P m -3 m'
_symmetry_Int_Tables_number 221
_symmetry_space_group_name_Hall '-P 4 2 3'
loop_
_atom_site_label
_atom_site_fract_x
_atom_site_fract_y
_atom_site_fract_z
Mg1 0.000 0.000 0.000
Sb1 0.500 0.500 0.500
Pt1 0.000 0.500 0.500
```

---

DFT (PBEsol) results for a relaxed BeIn3Os crystal.

## Properties
E   -0.2853 Ry/atom
Calculated volume   95.9 Å³/cell

The structure in CIF format:
```
data_BeIn3Os
_cell_length_a 4.577
_cell_length_b 4.577
_cell_length_c 4.577
_cell_angle_alpha 90.00
_cell_angle_beta 90.00
_cell_angle_gamma 90.00
_symmetry_space_group_name_H-M 'P m -3 m'
_symmetry_Int_Tables_number 221
_symmetry_space_group_name_Hall '-P 4 2 3'
loop_
_atom_site_label
_atom_site_fract_x
_atom_site_fract_y
_atom_site_fract_z
Be1 0.000 0.000 0.000
In1 0.000 0.000 0.500
Os1 0.500 0.500 0.500
```

---

DFT (PBEsol) results for a relaxed Mg5Ag4 crystal.

## Properties
ΔE to the lowest computed polymorph   0 meV/atom
Calculated volume   331.6 Å³/cell

The structure in CIF format:
```
data_Mg5Ag4
_cell_length_a 8.1547
_cell_length_b 8.1547
_cell_length_c 5.7583
_cell_angle_alpha 90.00
_cell_angle_beta 90.00
_cell_angle_gamma 120.00
_symmetry_space_group_name_H-M 'P 63/m c m'
_symmetry_Int_Tables_number 193
_symmetry_space_group_name_Hall '-P 6c 2'
loop_
_atom_site_label
_atom_site_fract_x
_atom_site_fract_y
_atom_site_fract_z
Mg1 0.0000 0.2965 0.2500
Mg2 0.3333 0.6667 0.0000
Ag1 0.0000 0.0000 0.0000
Ag2 0.0000 0.3685 0.7500
```

---

DFT (PBEsol) results for a relaxed Y2SeO2 crystal.

## Properties
E_form (uncorrected)   -3.131 eV/atom
Calculated volume   171.5 Å³/cell

The structure in CIF format:
```
data_Y2SeO2
_cell_length_a 3.788
_cell_length_b 3.788
_cell_length_c 11.952
_cell_angle_alpha 90.00
_cell_angle_beta 90.00
_cell_angle_gamma 90.00
_symmetry_space_group_name_H-M 'I 4/m m m'
_symmetry_Int_Tables_number 139
_symmetry_space_group_name_Hall '-I 4 2'
loop_
_atom_site_label
_atom_site_fract_x
_atom_site_fract_y
_atom_site_fract_z
Y1 0.000 0.000 0.156
Se1 0.000 0.000 0.500
O1 0.000 0.500 0.250
```

---

DFT (PBEsol) results for a relaxed Lu3Co2Si3 crystal.

## Properties
E_form (uncorrected)   -0.850 eV/atom
Calculated volume   528.1 Å³/cell

The structure in CIF format:
```
data_Lu3Co2Si3
_cell_length_a 3.999
_cell_length_b 10.049
_cell_length_c 13.140
_cell_angle_alpha 90.00
_cell_angle_beta 90.00
_cell_angle_gamma 90.00
_symmetry_space_group_name_H-M 'C m c m'
_symmetry_Int_Tables_number 63
_symmetry_space_group_name_Hall '-C 2c 2'
loop_
_atom_site_label
_atom_site_fract_x
_atom_site_fract_y
_atom_site_fract_z
Lu1 0.000 0.081 0.112
Lu2 0.000 0.362 0.250
Co1 0.000 0.214 0.583
Si1 0.000 0.333 0.750
Si2 0.000 0.383 0.040
```

---

DFT (PBEsol) results for a relaxed InOs2Au crystal.

## Properties
E   -0.5319 Ry/atom
Calculated volume   134.4 Å³/cell

The structure in CIF format:
```
data_InOs2Au
_cell_length_a 2.794
_cell_length_b 4.713
_cell_length_c 10.207
_cell_angle_alpha 90.00
_cell_angle_beta 90.00
_cell_angle_gamma 90.00
_symmetry_space_group_name_H-M 'I m m 2'
_symmetry_Int_Tables_number 44
loop_
_symmetry_equiv_pos_as_xyz
'x,y,z'
'-x,-y,z'
'-x,y,z'
'x,-y,z'
'x+1/2,y+1/2,z+1/2'
'-x+1/2,-y+1/2,z+1/2'
'-x+1/2,y+1/2,z+1/2'
'x+1/2,-y+1/2,z+1/2'
loop_
_atom_site_label
_atom_site_fract_x
_atom_site_fract_y
_atom_site_fract_z
In1 0.000 0.000 0.000
Os1 0.000 0.000 0.451
Os2 0.000 0.500 0.749
Au1 0.000 0.500 0.214
```

---

DFT (PBEsol) results for a relaxed ZrZnRe2 crystal.

## Properties
E   -0.6899 Ry/atom
Calculated volume   64.4 Å³/cell

The structure in CIF format:
```
data_ZrZnRe2
_cell_length_a 3.023
_cell_length_b 3.023
_cell_length_c 7.051
_cell_angle_alpha 90.00
_cell_angle_beta 90.00
_cell_angle_gamma 90.00
_symmetry_space_group_name_H-M 'P 4 m m'
_symmetry_Int_Tables_number 99
loop_
_symmetry_equiv_pos_as_xyz
'x,y,z'
'-y,x,z'
'-x,-y,z'
'y,-x,z'
'-x,y,z'
'y,x,z'
'x,-y,z'
'-y,-x,z'
loop_
_atom_site_label
_atom_site_fract_x
_atom_site_fract_y
_atom_site_fract_z
Zr1 0.000 0.000 0.000
Zn1 0.500 0.500 0.722
Re1 0.000 0.000 0.489
Re2 0.500 0.500 0.286
```

---

DFT (PBEsol) results for a relaxed YCo2Cu crystal.

## Properties
ΔE to the lowest computed polymorph   0 meV/atom
Calculated volume   187.9 Å³/cell

The structure in CIF format:
```
data_YCo2Cu
_cell_length_a 3.9497
_cell_length_b 3.9497
_cell_length_c 13.9078
_cell_angle_alpha 90.00
_cell_angle_beta 90.00
_cell_angle_gamma 120.00
_symmetry_space_group_name_H-M 'R 3 m'
_symmetry_Int_Tables_number 160
_symmetry_space_group_name_Hall 'R 3 -2"'
loop_
_atom_site_label
_atom_site_fract_x
_atom_site_fract_y
_atom_site_fract_z
Y1 0.0000 0.0000 0.0000
Co1 0.0000 0.0000 0.1981
Co2 0.0000 0.0000 0.5219
Cu1 0.0000 0.0000 0.7988
```

---

DFT (PBEsol) results for a relaxed Re2OsRh crystal.

## Properties
ΔE to the lowest computed polymorph   123 meV/atom
Calculated volume   56.4 Å³/cell

The structure in CIF format:
```
data_Re2OsRh
_cell_length_a 2.707
_cell_length_b 2.707
_cell_length_c 7.700
_cell_angle_alpha 90.00
_cell_angle_beta 90.00
_cell_angle_gamma 90.00
_symmetry_space_group_name_H-M 'P 4/m m m'
_symmetry_Int_Tables_number 123
_symmetry_space_group_name_Hall '-P 4 2'
loop_
_atom_site_label
_atom_site_fract_x
_atom_site_fract_y
_atom_site_fract_z
Re1 0.000 0.000 0.249
Os1 0.500 0.500 0.000
Rh1 0.500 0.500 0.500
```

---

DFT (PBEsol) results for a relaxed CaY2SeI crystal.

## Properties
E_form (uncorrected)   0.094 eV/atom
Calculated volume   171.5 Å³/cell

The structure in CIF format:
```
data_CaY2SeI
_cell_length_a 5.531
_cell_length_b 5.531
_cell_length_c 5.607
_cell_angle_alpha 90.00
_cell_angle_beta 90.00
_cell_angle_gamma 90.00
_symmetry_space_group_name_H-M 'P 4/m m m'
_symmetry_Int_Tables_number 123
_symmetry_space_group_name_Hall '-P 4 2'
loop_
_atom_site_label
_atom_site_fract_x
_atom_site_fract_y
_atom_site_fract_z
Ca1 0.000 0.000 0.000
Y1 0.000 0.500 0.500
Se1 0.500 0.500 0.000
I1 0.000 0.000 0.500
```

---

DFT (PBEsol) results for a relaxed SbOs2Au crystal.

## Properties
E_form (uncorrected)   0.430 eV/atom
Calculated volume   69.3 Å³/cell

The structure in CIF format:
```
data_SbOs2Au
_cell_length_a 2.874
_cell_length_b 2.874
_cell_length_c 8.397
_cell_angle_alpha 90.00
_cell_angle_beta 90.00
_cell_angle_gamma 90.00
_symmetry_space_group_name_H-M 'P 4 m m'
_symmetry_Int_Tables_number 99
loop_
_symmetry_equiv_pos_as_xyz
'x,y,z'
'-y,x,z'
'-x,-y,z'
'y,-x,z'
'-x,y,z'
'y,x,z'
'x,-y,z'
'-y,-x,z'
loop_
_atom_site_label
_atom_site_fract_x
_atom_site_fract_y
_atom_site_fract_z
Sb1 0.000 0.000 0.000
Os1 0.000 0.000 0.553
Os2 0.500 0.500 0.743
Au1 0.500 0.500 0.313
```

---

DFT (PBEsol) results for a relaxed AgPdI2O crystal.

## Properties
E_form (uncorrected)   0.063 eV/atom
Calculated volume   115.1 Å³/cell

The structure in CIF format:
```
data_AgPdI2O
_cell_length_a 5.491
_cell_length_b 5.491
_cell_length_c 3.817
_cell_angle_alpha 90.00
_cell_angle_beta 90.00
_cell_angle_gamma 90.00
_symmetry_space_group_name_H-M 'P 4/m m m'
_symmetry_Int_Tables_number 123
_symmetry_space_group_name_Hall '-P 4 2'
loop_
_atom_site_label
_atom_site_fract_x
_atom_site_fract_y
_atom_site_fract_z
Ag1 0.000 0.000 0.000
Pd1 0.500 0.500 0.500
I1 0.000 0.500 0.500
O1 0.500 0.500 0.000
```

---

DFT (PBEsol) results for a relaxed Al7Ag crystal.

## Properties
ΔE to the lowest computed polymorph   16 meV/atom
Calculated volume   517.3 Å³/cell

The structure in CIF format:
```
data_Al7Ag
_cell_length_a 8.027
_cell_length_b 8.027
_cell_length_c 8.027
_cell_angle_alpha 90.00
_cell_angle_beta 90.00
_cell_angle_gamma 90.00
_symmetry_space_group_name_H-M 'F m -3 m'
_symmetry_Int_Tables_number 225
_symmetry_space_group_name_Hall '-F 4 2 3'
loop_
_atom_site_label
_atom_site_fract_x
_atom_site_fract_y
_atom_site_fract_z
Al1 0.000 0.000 0.000
Al2 0.000 0.250 0.250
Ag1 0.000 0.000 0.500
```

---

DFT (PBEsol) results for a relaxed HfCoHg2 crystal.

## Properties
E   -0.3490 Ry/atom
Calculated volume   274.9 Å³/cell

The structure in CIF format:
```
data_HfCoHg2
_cell_length_a 6.502
_cell_length_b 6.502
_cell_length_c 6.502
_cell_angle_alpha 90.00
_cell_angle_beta 90.00
_cell_angle_gamma 90.00
_symmetry_space_group_name_H-M 'F m -3 m'
_symmetry_Int_Tables_number 225
_symmetry_space_group_name_Hall '-F 4 2 3'
loop_
_atom_site_label
_atom_site_fract_x
_atom_site_fract_y
_atom_site_fract_z
Hf1 0.000 0.000 0.000
Co1 0.000 0.000 0.500
Hg1 0.250 0.250 0.250
```

---

DFT (PBEsol) results for a relaxed Y2ZnIr crystal.

## Properties
E   -0.5045 Ry/atom
Calculated volume   171.9 Å³/cell

The structure in CIF format:
```
data_Y2ZnIr
_cell_length_a 4.286
_cell_length_b 3.831
_cell_length_c 10.473
_cell_angle_alpha 90.00
_cell_angle_beta 90.00
_cell_angle_gamma 90.00
_symmetry_space_group_name_H-M 'A m m 2'
_symmetry_Int_Tables_number 38
loop_
_symmetry_equiv_pos_as_xyz
'x,y,z'
'-x,-y,z'
'-x,y,z'
'x,-y,z'
'x,y+1/2,z+1/2'
'-x,-y+1/2,z+1/2'
'-x,y+1/2,z+1/2'
'x,-y+1/2,z+1/2'
loop_
_atom_site_label
_atom_site_fract_x
_atom_site_fract_y
_atom_site_fract_z
Y1 0.000 0.000 0.000
Y2 0.500 0.000 0.280
Zn1 0.000 0.000 0.711
Ir1 0.500 0.000 0.567
```

---

DFT (PBEsol) results for a relaxed ZrAl2Cu3 crystal.

## Properties
E   -0.3907 Ry/atom
Calculated volume   86.7 Å³/cell

The structure in CIF format:
```
data_ZrAl2Cu3
_cell_length_a 5.0576
_cell_length_b 5.0576
_cell_length_c 3.9125
_cell_angle_alpha 90.00
_cell_angle_beta 90.00
_cell_angle_gamma 120.00
_symmetry_space_group_name_H-M 'P 6/m m m'
_symmetry_Int_Tables_number 191
_symmetry_space_group_name_Hall '-P 6 2'
loop_
_atom_site_label
_atom_site_fract_x
_atom_site_fract_y
_atom_site_fract_z
Zr1 0.0000 0.0000 0.0000
Al1 0.3333 0.6667 0.0000
Cu1 0.0000 0.5000 0.5000
```

---

DFT (PBEsol) results for a relaxed Cu2Sn2Sb crystal.

## Properties
E_form (uncorrected)   0.231 eV/atom
Calculated volume   203.9 Å³/cell

The structure in CIF format:
```
data_Cu2Sn2Sb
_cell_length_a 4.187
_cell_length_b 4.187
_cell_length_c 11.629
_cell_angle_alpha 90.00
_cell_angle_beta 90.00
_cell_angle_gamma 90.00
_symmetry_space_group_name_H-M 'I 4/m m m'
_symmetry_Int_Tables_number 139
_symmetry_space_group_name_Hall '-I 4 2'
loop_
_atom_site_label
_atom_site_fract_x
_atom_site_fract_y
_atom_site_fract_z
Cu1 0.000 0.000 0.101
Sn1 0.000 0.500 0.250
Sb1 0.000 0.000 0.500
```

---

DFT (PBEsol) results for a relaxed Co2CuNi crystal.

## Properties
ΔE to the lowest computed polymorph   20 meV/atom
Calculated volume   42.2 Å³/cell

The structure in CIF format:
```
data_Co2CuNi
_cell_length_a 2.462
_cell_length_b 2.462
_cell_length_c 6.964
_cell_angle_alpha 90.00
_cell_angle_beta 90.00
_cell_angle_gamma 90.00
_symmetry_space_group_name_H-M 'P 4 m m'
_symmetry_Int_Tables_number 99
loop_
_symmetry_equiv_pos_as_xyz
'x,y,z'
'-y,x,z'
'-x,-y,z'
'y,-x,z'
'-x,y,z'
'y,x,z'
'x,-y,z'
'-y,-x,z'
loop_
_atom_site_label
_atom_site_fract_x
_atom_site_fract_y
_atom_site_fract_z
Co1 0.000 0.000 0.000
Co2 0.500 0.500 0.239
Cu1 0.000 0.000 0.499
Ni1 0.500 0.500 0.756
```

---

no.,density (g cm⁻³)
1,2.3
2,2.9
3,10.4
4,9.4
5,5.5
6,5.6
7,9.1
8,17.1
9,13.6
10,7.2
11,19.6
12,4.1
13,16.7
14,7.0
15,3.8
16,15.4
17,8.4
18,6.4
19,7.9
20,9.4